The following is a DFT calculation (PBE-GGA) of an optimized crystal structure of LiPbSeO5.

```
LiPbSeO5
1.0
-3.540 5.043 0.069
-4.902 -3.605 -0.971
2.794 -1.321 7.320
Li Pb Se O
2 2 2 10
Cartesian
-3.778 -1.237 1.183
-1.869 1.355 5.234
1.397 -0.660 3.660
0.000 0.000 0.000
-3.359 1.421 1.503
-2.287 -1.304 4.915
-4.078 -3.142 0.954
-1.569 3.259 5.464
-3.722 2.586 0.350
-1.925 -2.469 6.067
-2.703 2.121 2.880
-2.944 -2.004 3.538
-4.709 0.480 1.881
-0.938 -0.363 4.537
-2.346 0.230 0.868
-3.301 -0.112 5.549
```

Properties
- V (Å³ per cell) = 266.31
- formation energy from raw total energies (eV/f.u.) = -8.213
- SG = C2/c (15)